Entry 1
DFT (PBE) results for a relaxed structure of Ba2BrF2.

Its magnetic moment is 1.75 μB/cell. Its volume is 29.115 Å³ per atom.

The structure belongs to space group I4/mmm (No. 139); the cell edges are 4.634, 4.634 and 13.557 Å and the angles 90.00°, 90.00° and 90.00°. Symmetry generates all atoms from Ba at (0.000, 0.000, 0.150), Br at (0.000, 0.000, 0.500) and F at (0.000, 0.500, 0.250).



Entry 2
DFT (PBE) results for a relaxed structure of Ba2BrF2.

Its magnetic moment is 0.21 μB/cell. Its volume is 25.581 Å³ per atom.

The structure belongs to space group P4/mbm (No. 127); the cell edges are 8.454, 8.454 and 3.580 Å and the angles 90.00°, 90.00° and 90.00°. Symmetry generates all atoms from Ba at (0.159, 0.341, 0.000), Br at (0.000, 0.000, 0.000) and F at (0.122, 0.622, 0.500).



Least stable = entry 2



Entry 1
DFT (PBE) results for a relaxed structure of BaSeBr2F.

Its magnetic moment is 0.91 μB/cell. Its volume is 27.479 Å³ per atom.

The structure belongs to space group P4/mmm (No. 123); the cell edges are 5.787, 5.787 and 4.103 Å and the angles 90.00°, 90.00° and 90.00°. Symmetry generates all atoms from Ba at (0.000, 0.000, 0.000), Se at (0.500, 0.500, 0.000), Br at (0.000, 0.500, 0.500) and F at (0.500, 0.500, 0.500).



Entry 2
DFT (PBE) results for a relaxed structure of BaSeBr2F.

Its magnetic moment is 3.05 μB/cell. Its volume is 55.078 Å³ per atom.

The structure belongs to space group P4/mmm (No. 123); the cell edges are 6.264, 6.264 and 7.018 Å and the angles 90.00°, 90.00° and 90.00°. Symmetry generates all atoms from Ba at (0.000, 0.000, 0.000), Se at (0.000, 0.000, 0.500), Br at (0.000, 0.500, 0.000) and F at (0.500, 0.500, 0.500).



Least stable = entry 2



Entry 1
DFT (PBE) results for a relaxed structure of BaFe2Br.

Its magnetic moment is 5.33 μB/cell. Its volume is 27.335 Å³ per atom.

The structure belongs to space group Pmmm (No. 47); the cell edges are 4.516, 4.858 and 4.984 Å and the angles 90.00°, 90.00° and 90.00°. Symmetry generates all atoms from Ba at (0.000, 0.000, 0.000), Fe at (0.500, 0.223, 0.500) and Br at (0.500, 0.500, 0.000).



Entry 2
DFT (PBE) results for a relaxed structure of BaFe2Br.

Its magnetic moment is 10.03 μB/cell. Its volume is 25.226 Å³ per atom.

The structure belongs to space group Imm2 (No. 44); the cell edges are 3.630, 6.024 and 9.228 Å and the angles 90.00°, 90.00° and 90.00°. Symmetry generates all atoms from Ba at (0.000, 0.000, 0.000), Fe at (0.000, 0.000, 0.526), Fe at (0.000, 0.500, 0.180) and Br at (0.000, 0.500, 0.820).



Least stable = entry 2



Entry 1
DFT (PBE) results for a relaxed structure of BaFe2Br.

Its magnetic moment is 18.42 μB/cell. Its volume is 24.432 Å³ per atom.

The structure belongs to space group R-3m (No. 166, hexagonal axes); the cell edges are 3.4851, 3.4851 and 27.8725 Å and the angles 90.00°, 90.00° and 120.00°. Symmetry generates all atoms from Ba at (0.0000, 0.0000, 0.0000), Fe at (0.0000, 0.0000, 0.2357) and Br at (0.0000, 0.0000, 0.5000).



Entry 2
DFT (PBE) results for a relaxed structure of BaFe2Br.

Its magnetic moment is 0.35 μB/cell. Its volume is 24.523 Å³ per atom.

The structure belongs to space group P3m1 (No. 156); the cell edges are 3.8616, 3.8616 and 7.5956 Å and the angles 90.00°, 90.00° and 120.00°. Symmetry generates all atoms from Ba at (0.0000, 0.0000, 0.0000), Fe at (0.3333, 0.6667, 0.6370), Fe at (0.6667, 0.3333, 0.7001) and Br at (0.3333, 0.6667, 0.3210).



Least stable = entry 1